{
  "formula": "Tb2TmGe3Pt4",
  "functional": "PBE",
  "state": "relaxed",
  "cell": [[4.191, 0.000, 0.000], [0.000, 4.191, 0.000], [0.000, 0.000, 11.379]],
  "species": ["Tb", "Tb", "Tm", "Ge", "Ge", "Ge", "Pt", "Pt", "Pt", "Pt"],
  "frac_coords": [[0.000, 0.500, 0.222], [0.500, 0.000, 0.778], [0.000, 0.000, 0.500], [0.000, 0.500, 0.871], [0.500, 0.000, 0.129], [0.500, 0.500, 0.500], [0.000, 0.000, 0.000], [0.000, 0.500, 0.657], [0.500, 0.000, 0.343], [0.500, 0.500, 0.000]],
  "dft_energy_ev_per_cell": -61.37,
  "delta_e_f_ev_per_atom": -0.9624,
  "volume_a3_per_cell": 199.88
}